1.
Compound: MgAg2Ir
Source: Alexandria via LeMat-Bulk
Functional: GGA-PBE
Structure: optimized geometry

Results
- total magnetic moment (μB per formula unit) = 0.00
- V (Å³/cell) = 67
- D(E_F) (states/eV per atom) = 0.70
- ΔE_f (eV/atom) = 0.0601

abc: 4.962 4.962 4.839
angles: 76.90 76.90 35.36
Atoms (fractional coordinates):
Ir  0.503  0.503  0.481
Ag  0.999  0.999  0.987
Mg  0.244  0.244  0.275
Ag  0.753  0.753  0.757

---

2.
Compound: ReAsBr4
Source: Alexandria via LeMat-Bulk
Functional: GGA-PBE
Structure: optimized geometry

Results
- total magnetic moment (μB per formula unit) = 3.42
- formation energy without anion corrections (eV/f.u.) = 9.807
- V (Å³/cell) = 166
- D(E_F) (states/eV per atom) = 1.15

abc: 6.175 6.175 6.175
angles: 60.00 60.00 60.00
Last column: magnetic moment on the atom in μB.
Atoms (fractional coordinates):
Br  0.874  0.375  0.375  0.04
Re  0.750  0.750  0.750  4.11
As  0.000  0.000  0.000  -0.86
Br  0.375  0.375  0.375  0.04
Br  0.375  0.375  0.874  0.04
Br  0.375  0.874  0.375  0.04

---

3.
Compound: RbCeBi2
Source: Alexandria via LeMat-Bulk
Functional: GGA-PBE
Structure: optimized geometry

Results
- total magnetic moment (μB per formula unit) = 0.43
- V (Å³/cell) = 171
- D(E_F) (states/eV per atom) = 1.76
- ΔE_f (eV/atom) = -0.3876
- energy relative to the lowest polymorph listed for this composition (eV per atom) = 0.122

abc: 4.794 4.794 9.047
angles: 74.63 74.63 60.00
Last column: magnetic moment on the atom in μB.
Atoms (fractional coordinates):
Bi  0.062  0.062  0.813  0.05
Ce  0.668  0.668  0.997  0.28
Rb  0.498  0.498  0.507  0.00
Bi  0.272  0.272  0.183  0.05

---

4.
Compound: NbP2WN
Source: Alexandria via LeMat-Bulk
Functional: GGA-PBE
Structure: optimized geometry

Results
- total magnetic moment (μB per formula unit) = 0.31
- formation energy without anion corrections (eV/f.u.) = 8.435
- V (Å³/cell) = 108
- D(E_F) (states/eV per atom) = 0.95

abc: 4.513 5.281 4.513
angles: 90.00 90.00 90.00
Last column: magnetic moment on the atom in μB.
Atoms (fractional coordinates):
N  0.500  0.500  0.500  1.23
Nb  0.000  0.500  0.000  -1.38
P  0.000  0.000  0.500  0.03
P  0.500  0.000  0.000  0.00
W  0.000  0.000  0.000  0.14

---

5.
Compound: Ce2SbCl
Source: Alexandria via LeMat-Bulk
Functional: GGA-PBE
Structure: optimized geometry

Results
- total magnetic moment (μB per formula unit) = 3.43
- formation energy without anion corrections (eV/f.u.) = -4.392
- V (Å³/cell) = 107
- D(E_F) (states/eV per atom) = 3.43

abc: 5.335 5.335 5.335
angles: 60.00 60.00 60.00
Last column: magnetic moment on the atom in μB.
Atoms (fractional coordinates):
Ce  0.250  0.250  0.250  1.27
Sb  0.000  0.000  0.000  -0.05
Ce  0.750  0.750  0.750  1.27
Cl  0.500  0.500  0.500  -0.02

---

6.
Compound: Sr2BePt
Source: Alexandria via LeMat-Bulk
Functional: GGA-PBE
Structure: optimized geometry

Results
- total magnetic moment (μB per formula unit) = 0.00
- V (Å³/cell) = 103
- D(E_F) (states/eV per atom) = 0.57
- ΔE_f (eV/atom) = -0.1029

abc: 3.767 3.756 8.197
angles: 62.74 90.00 90.00
Atoms (fractional coordinates):
Sr  0.000  0.008  0.991
Pt  0.500  0.750  0.750
Be  0.500  0.250  0.250
Sr  0.000  0.492  0.509

---

7.
Compound: CdOsSe2Br
Source: Alexandria via LeMat-Bulk
Functional: GGA-PBE
Structure: optimized geometry

Results
- total magnetic moment (μB per formula unit) = 0.00
- formation energy without anion corrections (eV/f.u.) = 1.933
- V (Å³/cell) = 126
- D(E_F) (states/eV per atom) = 0.95
- energy relative to the lowest polymorph listed for this composition (eV per atom) = 0.000

abc: 4.846 4.846 5.350
angles: 90.00 90.00 90.00
Atoms (fractional coordinates):
Os  0.000  0.000  0.000
Se  0.500  0.000  0.000
Se  0.000  0.500  0.000
Br  0.000  0.000  0.500
Cd  0.500  0.500  0.500

---

8.
Compound: LiCaPuO5
Source: Alexandria via LeMat-Bulk
Functional: GGA-PBE
Structure: optimized geometry

Results
- total magnetic moment (μB per formula unit) = 1.00
- formation energy without anion corrections (eV/f.u.) = -20.132
- V (Å³/cell) = 229

abc: 5.780 5.780 8.033
angles: 105.57 105.57 106.96
Last column: magnetic moment on the atom in μB.
Atoms (fractional coordinates):
O  0.257  0.348  0.591  -0.06
Pu  0.000  0.000  0.500  1.33
O  0.743  0.652  0.409  -0.06
O  0.296  0.902  0.595  -0.06
Li  0.307  0.693  0.750  0.00
Li  0.693  0.307  0.250  0.00
Pu  0.000  0.000  0.000  1.33
O  0.920  0.080  0.750  -0.07
O  0.902  0.296  0.095  -0.06
O  0.080  0.920  0.250  -0.07
O  0.652  0.743  0.909  -0.06
Ca  0.328  0.672  0.250  0.00
Ca  0.672  0.328  0.750  0.00
O  0.098  0.704  0.905  -0.06
O  0.704  0.098  0.405  -0.06
O  0.348  0.257  0.091  -0.06

---

9.
Compound: Cu4IBr2Cl
Source: Alexandria via LeMat-Bulk
Functional: GGA-PBE
Structure: optimized geometry

Results
- total magnetic moment (μB per formula unit) = 0.00
- formation energy without anion corrections (eV/f.u.) = -1.939
- V (Å³/cell) = 188

abc: 5.725 5.725 7.029
angles: 114.02 114.02 90.01
Atoms (fractional coordinates):
Cu  0.609  0.609  0.752
Cl  0.500  0.500  0.001
Br  0.750  0.250  0.500
I  0.000  0.000  0.000
Br  0.250  0.750  0.500
Cu  0.389  0.858  0.247
Cu  0.143  0.143  0.752
Cu  0.858  0.389  0.247

---

10.
Compound: Ta2VH2
Source: Alexandria via LeMat-Bulk
Functional: GGA-PBE
Structure: optimized geometry

Results
- total magnetic moment (μB per formula unit) = 0.00
- V (Å³/cell) = 110
- D(E_F) (states/eV per atom) = 0.50
- energy relative to the lowest polymorph listed for this composition (eV per atom) = 0.000

abc: 5.559 4.716 5.490
angles: 65.11 62.44 64.27
Atoms (fractional coordinates):
Ta  0.597  0.314  0.255
H  0.725  0.562  0.860
H  0.289  0.590  0.502
Ta  0.403  0.686  0.745
H  0.275  0.438  0.140
Ta  0.240  0.014  0.237
Ta  0.760  0.986  0.763
H  0.711  0.410  0.498
V  0.913  0.686  0.243
V  0.087  0.314  0.757

---

11.
Compound: SnBRh3
Source: Alexandria via LeMat-Bulk
Functional: GGA-PBE
Structure: optimized geometry

Results
- total magnetic moment (μB per formula unit) = 0.00
- V (Å³/cell) = 285
- D(E_F) (states/eV per atom) = 0.70
- ΔE_f (eV/atom) = -0.3603

abc: 12.284 7.136 7.136
angles: 99.52 132.61 47.39
Atoms (fractional coordinates):
Sn  0.750  0.060  0.560
Rh  0.615  0.561  0.547
B  0.094  0.572  0.261
B  0.594  0.239  0.928
Rh  0.732  0.321  0.285
Rh  0.385  0.439  0.453
Rh  0.114  0.209  0.682
Rh  0.386  0.182  0.709
Rh  0.614  0.818  0.291
Rh  0.885  0.047  0.061
B  0.906  0.428  0.739
Sn  0.250  0.940  0.440
Rh  0.232  0.215  0.179
B  0.406  0.761  0.072
Sn  0.250  0.439  0.939
Rh  0.768  0.785  0.821
Rh  0.886  0.791  0.318
Sn  0.750  0.561  0.061
Rh  0.268  0.679  0.715
Rh  0.115  0.953  0.939

---

12.
Compound: Hf12MgAl3
Source: Alexandria via LeMat-Bulk
Functional: GGA-PBE
Structure: optimized geometry

Results
- total magnetic moment (μB per formula unit) = 0.00
- V (Å³/cell) = 331
- D(E_F) (states/eV per atom) = 0.87
- ΔE_f (eV/atom) = -0.1579

abc: 4.361 4.361 17.419
angles: 90.00 90.00 90.00
Atoms (fractional coordinates):
Hf  0.000  0.500  0.871
Hf  0.000  0.500  0.624
Hf  0.000  0.500  0.129
Hf  0.500  0.000  0.624
Al  0.000  0.000  0.500
Al  0.000  0.000  0.251
Hf  0.500  0.000  0.376
Hf  0.500  0.500  0.500
Hf  0.000  0.500  0.376
Mg  0.000  0.000  0.000
Al  0.000  0.000  0.749
Hf  0.500  0.000  0.871
Hf  0.500  0.500  0.253
Hf  0.500  0.500  0.000
Hf  0.500  0.500  0.747
Hf  0.500  0.000  0.129